Computed, not measured: BaGe12Ir4 after structural relaxation at the PBE level of DFT.

abc: 7.5957 7.5957 7.5957
angles: 109.47 109.47 109.47
Last column: nearest neighbours and their distance in Å.
Fractional coordinates of all 17 atoms:
Ge  0.1575  0.6470  0.8045  2 Ir 2.51, 2 Ge 2.58-2.76
Ge  0.1575  0.3530  0.5105  2 Ir 2.51, 2 Ge 2.58-2.76
Ge  0.3530  0.5105  0.1575  2 Ir 2.51, 2 Ge 2.58-2.76
Ge  0.6470  0.4895  0.8425  2 Ir 2.51, 2 Ge 2.58-2.76
Ge  0.4895  0.8425  0.6470  2 Ir 2.51, 2 Ge 2.58-2.76
Ge  0.3530  0.1955  0.8425  2 Ir 2.51, 2 Ge 2.58-2.76
Ge  0.5105  0.1575  0.3530  2 Ir 2.51, 2 Ge 2.58-2.76
Ge  0.8425  0.6470  0.4895  2 Ir 2.51, 2 Ge 2.58-2.76
Ge  0.1955  0.8425  0.3530  2 Ir 2.51, 2 Ge 2.58-2.76
Ge  0.8045  0.1575  0.6470  2 Ir 2.51, 2 Ge 2.58-2.76
Ge  0.8425  0.3530  0.1955  2 Ir 2.51, 2 Ge 2.58-2.76
Ge  0.6470  0.8045  0.1575  2 Ir 2.51, 2 Ge 2.58-2.76
Ba  0.0000  0.0000  0.0000  12 Ge 3.39
Ir  0.0000  0.5000  0.0000  6 Ge 2.51
Ir  0.5000  0.0000  0.0000  6 Ge 2.51
Ir  0.0000  0.0000  0.5000  6 Ge 2.51
Ir  0.5000  0.5000  0.5000  6 Ge 2.51

Calculated values
volume: 337.4 Å³/f.u.
formation energy from the elements: -193 meV per atom
calculated total energy: -5.651 eV per atom
total moment: 0.000 μB/atom

=====

Computed, not measured: BaGe3Ir after structural relaxation at the PBE level of DFT.

abc: 5.5294 5.5294 5.5294
angles: 90.00 90.00 90.00
Last column: nearest neighbours and their distance in Å.
Fractional coordinates of all 5 atoms:
Ge  0.0000  0.5000  0.0000  2 Ba 2.76
Ge  0.0000  0.0000  0.5000  2 Ba 2.76
Ge  0.5000  0.0000  0.0000  2 Ba 2.76
Ba  0.0000  0.0000  0.0000  6 Ge 2.76
Ir  0.5000  0.5000  0.5000  12 Ge 3.91

Calculated values
volume: 169.1 Å³/f.u.
formation energy from the elements: 2218 meV per atom
calculated total energy: -2.709 eV per atom
total moment: 0.198 μB/atom

=====

Computed, not measured: Ba3Ge4Ir2 after structural relaxation at the PBE level of DFT.

abc: 7.1024 8.9315 8.9315
angles: 74.84 81.18 81.18
Last column: nearest neighbours and their distance in Å.
Fractional coordinates of all 18 atoms:
Ir  0.4456  0.1575  0.4108  4 Ge 2.40-2.48
Ir  0.9456  0.4108  0.1575  4 Ge 2.40-2.48
Ir  0.0544  0.5892  0.8425  4 Ge 2.40-2.48
Ir  0.5544  0.8425  0.5892  4 Ge 2.40-2.48
Ge  0.4471  0.9196  0.3248  2 Ir 2.44-2.48
Ge  0.5529  0.0804  0.6752  2 Ir 2.44-2.48
Ge  0.1203  0.2626  0.3714  2 Ir 2.40-2.42
Ge  0.0529  0.6752  0.0804  2 Ir 2.44-2.48
Ge  0.8797  0.7374  0.6286  2 Ir 2.40-2.42
Ge  0.3797  0.6286  0.7374  2 Ir 2.40-2.42
Ge  0.6203  0.3714  0.2626  2 Ir 2.40-2.42
Ge  0.9471  0.3248  0.9196  2 Ir 2.44-2.48
Ba  0.7500  0.4168  0.5832  6 Ge 3.28-3.36
Ba  0.4164  0.2636  0.0001  6 Ge 3.34-3.64, 3 Ir 3.57-3.70
Ba  0.0836  0.9999  0.7364  6 Ge 3.34-3.64, 3 Ir 3.57-3.70
Ba  0.9164  0.0001  0.2636  6 Ge 3.34-3.64, 3 Ir 3.57-3.70
Ba  0.2500  0.5832  0.4168  6 Ge 3.28-3.36
Ba  0.5836  0.7364  0.9999  6 Ge 3.34-3.64, 3 Ir 3.57-3.70

Calculated values
volume: 268.3 Å³/f.u.
formation energy from the elements: -486 meV per atom
calculated total energy: -5.148 eV per atom
total moment: 0.000 μB/atom

=====

Computed, not measured: BaGeIr3 after structural relaxation at the PBE level of DFT.

abc: 4.7518 4.7518 4.7518
angles: 90.00 90.00 90.00
Last column: nearest neighbours and their distance in Å.
Fractional coordinates of all 5 atoms:
Ba  0.5000  0.5000  0.5000  12 Ir 3.36
Ir  0.5000  0.0000  0.0000  2 Ge 2.38
Ir  0.0000  0.0000  0.5000  2 Ge 2.38
Ir  0.0000  0.5000  0.0000  2 Ge 2.38
Ge  0.0000  0.0000  0.0000  6 Ir 2.38

Calculated values
excess energy over the best structure of this formula in the dataset: 0 meV per atom
volume: 107.3 Å³/f.u.
formation energy from the elements: 448 meV per atom
calculated total energy: -6.177 eV per atom
total moment: 0.000 μB/atom

=====

Computed, not measured: BaGe3Ir5 after structural relaxation at the PBE level of DFT.

abc: 4.0692 6.7995 12.5844
angles: 90.00 90.00 107.41
Last column: nearest neighbours and their distance in Å.
Fractional coordinates of all 18 atoms:
Ir  0.0000  0.0000  0.5000  4 Ge 2.60, 6 Ir 2.71-2.83
Ir  0.1990  0.3979  0.9349  4 Ge 2.41-2.68
Ir  0.8010  0.6021  0.4349  4 Ge 2.41-2.68
Ir  0.5562  0.1124  0.6447  4 Ge 2.50-2.57, 1 Ir 2.65
Ir  0.5562  0.1124  0.8553  4 Ge 2.50-2.57, 1 Ir 2.65
Ir  0.4438  0.8876  0.3553  4 Ge 2.50-2.57, 1 Ir 2.65
Ir  0.0000  0.0000  0.0000  4 Ge 2.60, 6 Ir 2.71-2.83
Ir  0.8010  0.6021  0.0651  4 Ge 2.41-2.68
Ir  0.1990  0.3979  0.5651  4 Ge 2.41-2.68
Ir  0.4438  0.8876  0.1447  4 Ge 2.50-2.57, 1 Ir 2.65
Ge  0.6165  0.2330  0.0443  7 Ir 2.41-2.68
Ge  0.3835  0.7670  0.5443  7 Ir 2.41-2.68
Ge  0.8822  0.7644  0.2500  6 Ir 2.55-2.56
Ge  0.6165  0.2330  0.4557  7 Ir 2.41-2.68
Ge  0.3835  0.7670  0.9557  7 Ir 2.41-2.68
Ge  0.1178  0.2356  0.7500  6 Ir 2.55-2.56
Ba  0.1632  0.3264  0.2500  7 Ge 3.35-3.65, 8 Ir 3.57-3.74
Ba  0.8368  0.6736  0.7500  7 Ge 3.35-3.65, 8 Ir 3.57-3.74

Calculated values
volume: 166.1 Å³/f.u.
formation energy from the elements: -310 meV per atom
calculated total energy: -6.985 eV per atom
total moment: 0.000 μB/atom

=====

Computed, not measured: BaGeIr3 after structural relaxation at the PBE level of DFT.

abc: 5.1274 5.1274 5.1274
angles: 90.00 90.00 90.00
Last column: nearest neighbours and their distance in Å.
Fractional coordinates of all 5 atoms:
Ir  0.0000  0.0000  0.5000  2 Ba 2.56
Ir  0.0000  0.5000  0.0000  2 Ba 2.56
Ir  0.5000  0.0000  0.0000  2 Ba 2.56
Ba  0.0000  0.0000  0.0000  6 Ir 2.56
Ge  0.5000  0.5000  0.5000  12 Ir 3.63

Calculated values
excess energy over the best structure of this formula in the dataset: 2257 meV per atom
volume: 134.8 Å³/f.u.
formation energy from the elements: 2705 meV per atom
calculated total energy: -3.920 eV per atom
total moment: 0.171 μB/atom

=====

Computed, not measured: BaLiGe2Ir after structural relaxation at the PBE level of DFT.

abc: 4.8297 4.8297 5.0018
angles: 90.00 90.00 90.00
Last column: nearest neighbours and their distance in Å.
Fractional coordinates of all 5 atoms:
Ir  0.0000  0.0000  0.0000  4 Ge 2.41, 2 Li 2.50
Ba  0.5000  0.5000  0.5000  4 Li 3.42, 8 Ge 3.48
Li  0.0000  0.0000  0.5000  2 Ir 2.50
Ge  0.0000  0.5000  0.0000  2 Ir 2.41
Ge  0.5000  0.0000  0.0000  2 Ir 2.41

Calculated values
excess energy over the best structure of this formula in the dataset: 122 meV per atom
volume: 116.7 Å³/f.u.
formation energy from the elements: -349 meV per atom
calculated total energy: -4.735 eV per atom
total moment: 0.000 μB/atom

=====

Computed, not measured: BaLiGeIr after structural relaxation at the PBE level of DFT.

abc: 4.2140 4.2140 12.5808
angles: 90.00 90.00 90.00
Last column: nearest neighbours and their distance in Å.
Fractional coordinates of all 8 atoms:
Ge  0.2500  0.2500  0.1053  4 Ir 2.49
Ge  0.7500  0.7500  0.8947  4 Ir 2.49
Ba  0.7500  0.7500  0.2317  4 Ge 3.38, 4 Ir 3.60
Ba  0.2500  0.2500  0.7683  4 Ge 3.38, 4 Ir 3.60
Ir  0.7500  0.2500  0.0000  4 Ge 2.49
Ir  0.2500  0.7500  0.0000  4 Ge 2.49
Li  0.2500  0.7500  0.5000  4 Li 2.98
Li  0.7500  0.2500  0.5000  4 Li 2.98

Calculated values
volume: 111.7 Å³/f.u.
formation energy from the elements: -391 meV per atom
calculated total energy: -4.720 eV per atom
total moment: 0.000 μB/atom

=====

What is the formula in the fourth record?
BaGeIr3

=====

Which value of formation energy from the elements does entry 6 give?
2705 meV per atom